Density functional theory data (PBE-GGA) for a relaxed Pa3Co2Ir3 crystal.

Structure (extended XYZ):
```
16
Lattice="-0.248 -2.055 -4.323 2.769 -7.204 3.265 -8.225 1.585 -0.281" Properties=species:S:1:pos:R:3 pbc="T T T"
Pa 1.512 -5.960 -1.239
Pa -2.295 -3.714 -2.088
Pa -5.231 -0.569 -3.415
Pa 1.009 -3.299 0.182
Pa -3.408 -3.960 0.750
Pa -3.242 0.099 -1.190
Co -4.560 -1.344 0.901
Co -1.019 -5.302 -0.078
Co -0.895 -4.274 2.083
Co -4.684 -2.372 -1.261
Ir 0.361 -2.966 -2.597
Ir -4.563 -6.049 -0.848
Ir -1.813 -1.228 -3.298
Ir 2.160 -6.293 1.539
Ir -1.141 -1.625 -0.491
Ir -6.660 0.758 -1.306
```

Output
DFT formation energy: -0.323 eV per atom
Crystal system: hexagonal
DOS(E_F): 17.4 states/eV per cell
Total moment: 0.45 μB/f.u.
Mass density: 15.81 g/cm³


Density functional theory data (PBE-GGA) for a relaxed Li4Cd5Ga crystal.

Structure (extended XYZ):
```
10
Lattice="-3.169 -0.155 1.368 -0.987 -2.139 -2.528 4.381 -12.368 8.754" Properties=species:S:1:pos:R:3 pbc="T T T"
Li 0.883 -2.493 1.764
Li 1.756 -4.958 3.509
Li 2.625 -7.410 5.245
Li 3.498 -9.876 6.990
Cd -1.611 -2.463 0.352
Cd -0.754 -4.885 2.066
Cd 0.113 -7.331 3.797
Cd 0.979 -9.777 5.528
Cd 1.837 -12.198 7.242
Ga 0.000 0.000 0.000
```

Output
DFT formation energy: -0.209 eV per atom
Crystal system: tetragonal
DOS(E_F): 1.9 states/eV per cell
Total moment: 0.00 μB/f.u.
Mass density: 5.82 g/cm³


Density functional theory data (PBE-GGA) for a relaxed CrIrC2 crystal.

Structure (extended XYZ):
```
8
Lattice="4.509 0.000 0.000 0.000 4.509 0.000 2.254 2.254 4.530" Properties=species:S:1:pos:R:3 pbc="T T T"
Cr 2.254 2.254 0.000
Cr 2.254 4.509 2.265
C 3.315 1.127 1.133
C 1.194 3.382 1.133
C 3.382 3.448 3.398
C 5.636 5.569 3.398
Ir 0.000 0.000 0.000
Ir 4.509 2.254 2.265
```

Output
DFT formation energy: 0.557 eV per atom
Crystal system: tetragonal
DOS(E_F): 4.9 states/eV per cell
Total moment: 0.00 μB/f.u.
Mass density: 9.67 g/cm³


Density functional theory data (PBE-GGA) for a relaxed CsTbAgTe3 crystal.

Structure (extended XYZ):
```
12
Lattice="-4.138 -1.377 -0.072 3.275 -2.499 -8.287 3.267 -10.042 4.319" Properties=species:S:1:pos:R:3 pbc="T T T"
Cs 1.415 -4.091 -3.048
Cs 0.989 -9.827 -0.992
Tb 1.633 -5.021 2.160
Tb 0.000 0.000 0.000
Ag 3.584 -10.526 -4.581
Ag -1.180 -3.392 0.541
Te -1.619 -1.947 -1.801
Te 4.023 -11.971 -2.238
Te 2.715 -7.950 -3.968
Te -0.311 -5.968 -0.071
Te 2.620 -7.982 2.063
Te -0.217 -5.936 -6.103
```

Output
E: -0.1430 hartree per atom
Crystal system: orthorhombic
DOS(E_F): 8.2 states/eV per cell
Total moment: 0.00 μB/f.u.
Mass density: 5.81 g/cm³


Density functional theory data (PBE-GGA) for a relaxed K2Cd6AgAu crystal.

Structure (extended XYZ):
```
10
Lattice="7.522 0.075 -0.094 0.037 7.397 0.017 3.721 3.761 5.208" Properties=species:S:1:pos:R:3 pbc="T T T"
K 6.537 3.763 1.859
K 4.743 7.471 3.272
Cd 2.787 4.318 2.543
Cd 9.190 9.490 4.076
Cd 2.746 6.336 0.251
Cd 8.534 4.898 4.881
Cd 2.090 1.744 1.056
Cd 8.494 6.916 2.589
Ag 0.000 0.000 0.000
Au 3.780 3.736 -0.038
```

Output
DFT formation energy: -0.110 eV per atom
Crystal system: triclinic
DOS(E_F): 3.7 states/eV per cell
Total moment: 0.00 μB/f.u.
Mass density: 6.02 g/cm³